DFT (PBE+U) results for TmMnO3 after structural relaxation.

Cell: 5.8218 7.4380 5.2711 Å, 90.00 90.00 90.00°
With the nearest neighbours (Å) after each atom.
Space group Pnma (No. 62)
Symmetry-distinct sites (fractional):
Tm 0.0840 0.2500 0.0197 (multiplicity 4)  4 O 2.21-2.28
Mn 0.0000 0.0000 0.5000 (multiplicity 4)  4 O 1.94-2.00
O 0.0477 0.7500 0.3733 (multiplicity 4)  2 Mn 2.00, 1 Tm 2.21
O 0.1724 0.5597 0.8026 (multiplicity 8)  1 Mn 1.94

## Properties
* VASP energy: -160.06 eV for the cell shown